Record 1
Computed, not measured: a relaxed Er4NiSn2 crystal at the GGA-PBE level of DFT.

Cell lengths 6.4605, 6.6080, 8.9475 Å; angles 90.00, 105.29, 90.00 degrees
With the nearest neighbours (Å) after each atom.
Space group P2_1/m (No. 11)
Unique sites:
Er: 0.1856 0.2500 0.0925 x2  1 Ni 2.66
Er: 0.2416 0.7500 0.3704 x2  1 Ni 2.58
Er: 0.3011 0.0005 0.7457 x4  1 Ni 2.70
Ni: 0.4555 0.2500 0.3746 x2  1 Sn 2.48, 4 Er 2.58-2.70
Sn: 0.1042 0.2500 0.4375 x2  1 Ni 2.48
Sn: 0.3211 0.7500 0.0451 x2  6 Er 3.09-3.18

Values from the calculation:
ΔH_f (0 K)   -0.502 eV per atom
Total energy   -5.079 eV/atom



Record 2
Computed, not measured: a relaxed ErNi2Sn crystal at the GGA-PBE level of DFT.

Cell lengths 3.3636, 3.3636, 6.2026 Å; angles 90.00, 90.00, 90.00 degrees
With the nearest neighbours (Å) after each atom.
Space group P4/mmm (No. 123)
Unique sites:
Er: 0.0000 0.0000 0.0000 x1  8 Ni 2.90, 2 Sn 3.10
Ni: 0.5000 0.5000 0.2680 x2  4 Sn 2.78, 1 Ni 2.88, 4 Er 2.90
Sn: 0.0000 0.0000 0.5000 x1  8 Ni 2.78, 2 Er 3.10

Values from the calculation:
ΔH_f (0 K)   -0.285 eV per atom
Total energy   -5.317 eV/atom



Record 3
Computed, not measured: a relaxed Er2NiSn3 crystal at the GGA-PBE level of DFT.

Cell lengths 11.0008, 4.5299, 7.1571 Å; angles 90.00, 128.81, 90.00 degrees
With the nearest neighbours (Å) after each atom.
Space group Cm (No. 8)
Unique sites:
Er: 0.0000 0.0000 0.0000 x2  1 Ni 2.97, 6 Sn 3.05-3.27
Er: 0.1331 0.0000 0.6113 x2  8 Sn 3.17-3.41, 2 Ni 3.39
Ni: 0.2505 0.5000 0.0474 x2  4 Sn 2.52-2.64
Sn: 0.2288 0.5000 0.3945 x2  1 Ni 2.64
Sn: 0.3797 0.0000 0.1798 x2  2 Ni 2.52
Sn: 0.4651 0.0000 0.6839 x2  1 Ni 2.53

Values from the calculation:
Energy relative to the lowest polymorph listed for this composition   0.0000 eV/atom
ΔH_f (0 K)   -0.532 eV per atom
Total energy   -5.018 eV/atom



Record 4
Computed, not measured: a relaxed Er2NiSn3 crystal at the GGA-PBE level of DFT.

Cell lengths 8.3971, 8.3228, 8.2649 Å; angles 90.00, 107.70, 90.00 degrees
With the nearest neighbours (Å) after each atom.
Space group C2/c (No. 15)
Unique sites:
Er: 0.1326 0.2205 0.1331 x8  8 Sn 3.16-3.41, 3 Ni 3.16-3.44, 2 Er 3.36-3.41
Ni: 0.0000 0.4184 0.7500 x4  3 Sn 2.58
Sn: 0.0000 0.1080 0.7500 x4  1 Ni 2.58
Sn: 0.1969 0.4275 0.5037 x8  1 Ni 2.58

Values from the calculation:
Energy relative to the lowest polymorph listed for this composition   0.0467 eV/atom
ΔH_f (0 K)   -0.485 eV per atom
Total energy   -4.971 eV/atom



Record 5
Computed, not measured: a relaxed Er12Ni5Sn crystal at the GGA-PBE level of DFT.

Cell lengths 9.2667, 9.4571, 9.8115 Å; angles 90.00, 90.00, 90.00 degrees
With the nearest neighbours (Å) after each atom.
Space group Immm (No. 71)
Unique sites:
Er: 0.0000 0.1918 0.2133 x8  2 Ni 2.65-2.77
Er: 0.1948 0.5000 0.1781 x8  3 Ni 2.65-2.82
Er: 0.2075 0.3183 0.5000 x8  2 Ni 2.85
Ni: 0.0000 0.0000 0.0000 x2  4 Er 2.77
Ni: 0.0000 0.3636 0.0000 x4  1 Ni 2.58, 6 Er 2.65-2.82
Ni: 0.0000 0.5000 0.3761 x4  1 Ni 2.43, 2 Er 2.65
Sn: 0.0000 0.0000 0.5000 x2  12 Er 3.32-3.57

Values from the calculation:
ΔH_f (0 K)   -0.403 eV per atom
Total energy   -5.273 eV/atom



Record 6
Computed, not measured: a relaxed Er7Ni2Sn2 crystal at the GGA-PBE level of DFT.

Cell lengths 7.9259, 10.8884, 6.9082 Å; angles 90.00, 90.00, 90.00 degrees
With the nearest neighbours (Å) after each atom.
Space group Cmmm (No. 65)
Unique sites:
Er: 0.0000 0.0000 0.0000 x2  2 Ni 3.15
Er: 0.0000 0.5000 0.2316 x4  2 Ni 2.79, 2 Sn 3.13
Er: 0.2500 0.2500 0.2437 x8  2 Ni 2.64
Ni: 0.0000 0.2896 0.0000 x4  6 Er 2.64-2.79
Sn: 0.1823 0.0000 0.5000 x4  1 Sn 2.89, 2 Er 3.13

Values from the calculation:
ΔH_f (0 K)   -0.320 eV per atom
Total energy   -5.003 eV/atom



no.,V (A^3/atom)
1,26.3
2,17.5
3,23.2
4,22.9
5,23.9
6,27.1